Material: InTeI
Method: DFT, PBE
State: relaxed

a = 16.5123 Å, b = 4.4409 Å, c = 7.8731 Å
α = 90.00°, β = 109.51°, γ = 90.00°
Space group Cm (No. 8)
One atom of each set of equivalent atoms:
1 In 0.0000 0.0000 0.0000 (multiplicity 2)
2 In 0.2472 0.5000 0.0227 (multiplicity 2)
3 Te 0.0673 0.5000 0.8508 (multiplicity 2)
4 Te 0.3293 0.5000 0.7747 (multiplicity 2)
5 I 0.0416 0.0000 0.3644 (multiplicity 2)
6 I 0.2922 0.0000 0.2783 (multiplicity 2)

Computed properties:
As for the uncorrected formation energy: -0.3564 eV/atom. For the calculated volume, the calculation gives 45.35 A^3/atom. The crystal system is monoclinic.